Record 1
BaZnSb2W: optimized geometry, GGA-PBE.

## Properties
E_form (uncorrected) ... 111 kJ per mole of atoms
E ... -3.7269 eV per atom
M_tot ... 3.92 μB per formula unit

Unit cell a=5.2392 b=5.2392 c=5.6828 alpha=90.00 beta=90.00 gamma=90.00
With the nearest neighbours (Å) after each atom.
Fractional coordinates of all 5 atoms:
1 Ba 0.0000 0.0000 0.0000  2 Zn 2.84
2 Zn 0.0000 0.0000 0.5000  4 Sb 2.62, 2 Ba 2.84
3 Sb 0.0000 0.5000 0.5000  2 Zn 2.62
4 Sb 0.5000 0.0000 0.5000  2 Zn 2.62
5 W 0.5000 0.5000 0.0000  4 Ba 3.70, 8 Sb 3.86

***

Record 2
Be2FeRe: optimized geometry, GGA-PBE.

## Properties
E ... -7.2122 eV per atom
M_tot ... 0.00 μB per formula unit
Polymorph energy (0 for the lowest one) ... 0.0 meV/atom
Formation enthalpy at 0 K ... -0.49 eV/f.u.

Unit cell a=2.7022 b=2.7022 c=5.6758 alpha=90.00 beta=90.00 gamma=90.00
With the nearest neighbours (Å) after each atom.
Fractional coordinates of all 4 atoms:
1 Be 0.0000 0.0000 0.0000  4 Be 2.23, 1 Fe 2.41
2 Be 0.5000 0.5000 0.2029  4 Be 2.23, 4 Fe 2.29
3 Fe 0.0000 0.0000 0.4246  5 Be 2.29-2.41, 4 Re 2.49
4 Re 0.5000 0.5000 0.7058  4 Fe 2.49, 4 Be 2.54, 4 Re 2.70

***

Record 3
DyErTm: optimized geometry, GGA-PBE.

## Properties
E ... -4.5215 eV per atom
M_tot ... 0.00 μB per formula unit
Polymorph energy (0 for the lowest one) ... 2.0 meV/atom
Formation enthalpy at 0 K ... 0.07 eV/f.u.

Unit cell a=3.4991 b=3.4991 c=14.9212 alpha=90.00 beta=90.00 gamma=90.00
With the nearest neighbours (Å) after each atom.
Fractional coordinates of all 6 atoms:
1 Dy 0.0000 0.0000 0.0000  4 Dy 3.50, 4 Tm 3.51, 4 Er 3.52
2 Dy 0.5000 0.5000 0.5000  4 Dy 3.50, 4 Tm 3.51, 4 Er 3.52
3 Er 0.0000 0.0000 0.3325  4 Tm 3.50, 4 Er 3.50, 4 Dy 3.52
4 Er 0.5000 0.5000 0.8325  4 Tm 3.50, 4 Er 3.50, 4 Dy 3.52
5 Tm 0.0000 0.0000 0.6668  4 Er 3.50, 4 Tm 3.50, 4 Dy 3.51
6 Tm 0.5000 0.5000 0.1668  4 Er 3.50, 4 Tm 3.50, 4 Dy 3.51

***

Record 4
Ti2SeI: optimized geometry, GGA-PBE.

## Properties
E_form (uncorrected) ... -26 kJ per mole of atoms
E ... -5.4758 eV per atom
M_tot ... 0.87 μB per formula unit
Polymorph energy (0 for the lowest one) ... 0.0 meV/atom

Unit cell a=6.6778 b=6.6778 c=6.6778 alpha=90.00 beta=90.00 gamma=90.00
With the nearest neighbours (Å) after each atom.
Fractional coordinates of all 16 atoms:
1 Ti 0.2500 0.2500 0.2500  4 Se 2.89, 4 I 2.89
2 Ti 0.2500 0.2500 0.7500  4 Se 2.89, 4 I 2.89
3 Ti 0.2500 0.7500 0.2500  4 Se 2.89, 4 I 2.89
4 Ti 0.2500 0.7500 0.7500  4 Se 2.89, 4 I 2.89
5 Ti 0.7500 0.2500 0.2500  4 Se 2.89, 4 I 2.89
6 Ti 0.7500 0.2500 0.7500  4 Se 2.89, 4 I 2.89
7 Ti 0.7500 0.7500 0.2500  4 Se 2.89, 4 I 2.89
8 Ti 0.7500 0.7500 0.7500  4 Se 2.89, 4 I 2.89
9 Se 0.0000 0.0000 0.0000  8 Ti 2.89
10 Se 0.0000 0.5000 0.5000  8 Ti 2.89
11 Se 0.5000 0.0000 0.5000  8 Ti 2.89
12 Se 0.5000 0.5000 0.0000  8 Ti 2.89
13 I 0.0000 0.0000 0.5000  8 Ti 2.89
14 I 0.0000 0.5000 0.0000  8 Ti 2.89
15 I 0.5000 0.0000 0.0000  8 Ti 2.89
16 I 0.5000 0.5000 0.5000  8 Ti 2.89

***

Record 5
Np2BiN: optimized geometry, GGA-PBE.

## Properties
E_form (uncorrected) ... -9 kJ per mole of atoms
E ... -9.6177 eV per atom
M_tot ... 9.26 μB per formula unit
Polymorph energy (0 for the lowest one) ... 434.3 meV/atom

Unit cell a=3.1753 b=3.1753 c=8.1396 alpha=90.00 beta=90.00 gamma=90.00
With the nearest neighbours (Å) after each atom.
Fractional coordinates of all 4 atoms:
1 Np 0.0000 0.0000 0.1738  4 N 2.65, 1 Np 2.83
2 Np 0.0000 0.0000 0.8262  4 N 2.65, 1 Np 2.83
3 Bi 0.5000 0.5000 0.5000  4 Bi 3.18, 8 Np 3.48
4 N 0.5000 0.5000 0.0000  8 Np 2.65

***

Record 6
DyThOsPt: optimized geometry, GGA-PBE.

## Properties
E ... -7.9597 eV per atom
M_tot ... 0.00 μB per formula unit
Formation enthalpy at 0 K ... -2.55 eV/f.u.

Unit cell a=7.0612 b=7.0612 c=7.0612 alpha=90.00 beta=90.00 gamma=90.00
With the nearest neighbours (Å) after each atom.
Fractional coordinates of all 16 atoms:
1 Dy 0.0000 0.0000 0.0000  4 Os 3.06, 4 Pt 3.06
2 Dy 0.0000 0.5000 0.5000  4 Os 3.06, 4 Pt 3.06
3 Dy 0.5000 0.0000 0.5000  4 Os 3.06, 4 Pt 3.06
4 Dy 0.5000 0.5000 0.0000  4 Os 3.06, 4 Pt 3.06
5 Th 0.0000 0.0000 0.5000  4 Pt 3.06, 4 Os 3.06
6 Th 0.0000 0.5000 0.0000  4 Pt 3.06, 4 Os 3.06
7 Th 0.5000 0.0000 0.0000  4 Pt 3.06, 4 Os 3.06
8 Th 0.5000 0.5000 0.5000  4 Pt 3.06, 4 Os 3.06
9 Os 0.2500 0.2500 0.7500  4 Th 3.06, 4 Dy 3.06
10 Os 0.2500 0.7500 0.2500  4 Th 3.06, 4 Dy 3.06
11 Os 0.7500 0.2500 0.2500  4 Th 3.06, 4 Dy 3.06
12 Os 0.7500 0.7500 0.7500  4 Th 3.06, 4 Dy 3.06
13 Pt 0.2500 0.2500 0.2500  4 Dy 3.06, 4 Th 3.06
14 Pt 0.2500 0.7500 0.7500  4 Th 3.06, 4 Dy 3.06
15 Pt 0.7500 0.2500 0.7500  4 Th 3.06, 4 Dy 3.06
16 Pt 0.7500 0.7500 0.2500  4 Th 3.06, 4 Dy 3.06

***

Record 7
BaTaRe2: optimized geometry, GGA-PBE.

## Properties
E ... -9.0158 eV per atom
M_tot ... 0.00 μB per formula unit
Polymorph energy (0 for the lowest one) ... 1.5 meV/atom
Formation enthalpy at 0 K ... 2.61 eV/f.u.

Unit cell a=3.1188 b=3.1188 c=8.9333 alpha=90.00 beta=90.00 gamma=90.00
With the nearest neighbours (Å) after each atom.
Fractional coordinates of all 4 atoms:
1 Ba 0.0000 0.0000 0.0000  4 Ba 3.12, 4 Re 3.47
2 Ta 0.5000 0.5000 0.6510  5 Re 2.83-3.14, 4 Ta 3.12
3 Re 0.0000 0.0000 0.4533  4 Re 2.60, 4 Ta 2.83
4 Re 0.5000 0.5000 0.2997  4 Re 2.60

***

Record 8
AcAgH: optimized geometry, GGA-PBE.

## Properties
E ... -3.4771 eV per atom
M_tot ... 0.00 μB per formula unit
Polymorph energy (0 for the lowest one) ... 363.7 meV/atom

Unit cell a=3.7542 b=3.7542 c=10.1744 alpha=90.00 beta=90.00 gamma=90.00
With the nearest neighbours (Å) after each atom.
Fractional coordinates of all 6 atoms:
1 Ac 0.0000 0.0000 0.0000  4 H 2.66
2 Ac 0.5000 0.5000 0.5000  4 H 2.66
3 Ag 0.0000 0.0000 0.3055  1 H 2.17
4 Ag 0.5000 0.5000 0.8055  1 H 2.17
5 H 0.0000 0.0000 0.5189  1 Ag 2.17
6 H 0.5000 0.5000 0.0189  1 Ag 2.17